First-principles (GGA-PBE) data for a geometry-optimized Tb3Sm6Tl structure, as listed in the Alexandria database.

a b c (Å): 11.403 11.403 6.394
angles (deg): 90.00 90.00 129.05
Fractional positions:
Tb: 0.087 0.913 0.500
Tb: 0.203 0.458 0.100
Tb: 0.458 0.203 0.600
Tb: 0.542 0.797 0.100
Tb: 0.797 0.542 0.600
Tb: 0.913 0.087 0.000
Sm: 0.033 0.599 0.243
Sm: 0.126 0.239 0.527
Sm: 0.212 0.788 0.799
Sm: 0.239 0.126 0.027
Sm: 0.401 0.967 0.243
Sm: 0.482 0.518 0.769
Sm: 0.518 0.482 0.269
Sm: 0.599 0.033 0.743
Sm: 0.761 0.874 0.527
Sm: 0.788 0.212 0.299
Sm: 0.874 0.761 0.027
Sm: 0.967 0.401 0.743
Tl: 0.346 0.654 0.533
Tl: 0.654 0.346 0.033

Values from the calculation:
Magnetic moment, μB/f.u.: 0.00
Formation energy, meV/atom: 25.8